No. 1
HRh2Br: optimized geometry, GGA-PBE.

Unit cell a=4.238 b=4.238 c=4.238 alpha=60.00 beta=60.00 gamma=60.00
Atoms (fractional coordinates):
H: 0.000 0.000 0.000
Rh: 0.250 0.250 0.250
Rh: 0.750 0.750 0.750
Br: 0.500 0.500 0.500

E above lowest polymorph, eV/f.u.: 2.33


No. 2
PrPuSbRh: optimized geometry, GGA-PBE.

Unit cell a=4.631 b=4.631 c=10.554 alpha=90.00 beta=90.00 gamma=90.00
Atoms (fractional coordinates):
Pr: 0.250 0.250 0.183
Pr: 0.750 0.750 0.817
Pu: 0.250 0.750 0.500
Pu: 0.750 0.250 0.500
Sb: 0.250 0.250 0.881
Sb: 0.750 0.750 0.119
Rh: 0.250 0.250 0.638
Rh: 0.750 0.750 0.362

Energy relative to the elements, uncorrected, eV per atom: -0.5360


No. 3
CeP3H8O7: optimized geometry, GGA-PBE.

Unit cell a=7.221 b=8.082 c=9.052 alpha=110.63 beta=97.27 gamma=105.19
Atoms (fractional coordinates):
Ce: 0.151 0.311 0.366
Ce: 0.849 0.689 0.634
P: 0.033 0.191 0.916
P: 0.352 0.683 0.767
P: 0.472 0.716 0.311
P: 0.528 0.284 0.689
P: 0.648 0.317 0.233
P: 0.967 0.809 0.084
H: 0.039 0.349 0.879
H: 0.172 0.992 0.548
H: 0.187 0.785 0.474
H: 0.228 0.183 0.922
H: 0.344 0.639 0.905
H: 0.367 0.875 0.827
H: 0.456 0.878 0.289
H: 0.468 0.593 0.152
H: 0.532 0.407 0.848
H: 0.544 0.122 0.711
H: 0.633 0.125 0.173
H: 0.656 0.361 0.095
H: 0.772 0.817 0.078
H: 0.813 0.215 0.526
H: 0.828 0.008 0.452
H: 0.961 0.651 0.121
O: 0.003 0.766 0.914
O: 0.112 0.982 0.224
O: 0.128 0.867 0.551
O: 0.156 0.566 0.639
O: 0.286 0.632 0.359
O: 0.326 0.230 0.577
O: 0.462 0.340 0.286
O: 0.538 0.660 0.714
O: 0.674 0.770 0.423
O: 0.714 0.368 0.641
O: 0.844 0.434 0.361
O: 0.872 0.133 0.449
O: 0.888 0.018 0.776
O: 0.997 0.234 0.086

Calculated total energy, eV/atom: -5.79